Here is a relaxed SrFe2Ag crystal from Alexandria via LeMat-Bulk. Energies are from PBE.

Output
Energy relative to the elements in eV/atom: 0.387
Total DFT energy (no corrections) in eV per cell: -19.9

Unit cell a=3.2313 b=3.2427 c=7.4438 alpha=90.00 beta=90.00 gamma=90.00
Fractional coordinates of all 4 atoms:
Sr (0.0000, 0.0000, 0.0000)
Fe (0.0000, 0.0000, 0.5594)
Fe (0.5000, 0.5000, 0.6897)
Ag (0.5000, 0.5000, 0.3259)